[1]
DFT (PBE-GGA) results for crystalline ReIr2C at its relaxed geometry.

## Properties
M_tot = 0.00 μB/cell
DOS at the Fermi energy = 5.938 states/eV/f.u.
Energy = -9.06 eV/atom
Space-group type = I-42d (122)

a = 5.1113 Å, b = 5.1113 Å, c = 6.1941 Å
α = 65.63°, β = 65.63°, γ = 90.00°
Fractional coordinates of all 8 atoms:
Ir (0.1959, 0.6250, 0.2500)
Ir (0.3750, 0.4459, 0.7500)
Ir (0.8750, 0.8041, 0.7500)
Ir (0.5541, 0.1250, 0.2500)
Re (0.7500, 0.2500, 0.5000)
Re (0.0000, 0.0000, 0.0000)
C (0.5000, 0.5000, 0.0000)
C (0.2500, 0.7500, 0.5000)



[2]
DFT (PBE-GGA) results for crystalline Re3IrC at its relaxed geometry.

## Properties
M_tot = 0.00 μB/cell
DOS at the Fermi energy = 5.787 states/eV/f.u.
Space-group type = Pm-3m (221)
Distance to the lowest polymorph of the same formula = 0.000 eV/atom

a = 4.0635 Å, b = 4.0635 Å, c = 4.0635 Å
α = 90.00°, β = 90.00°, γ = 90.00°
Fractional coordinates of all 5 atoms:
C (0.0000, 0.0000, 0.0000)
Re (0.0000, 0.0000, 0.5000)
Re (0.5000, 0.0000, 0.0000)
Re (0.0000, 0.5000, 0.0000)
Ir (0.5000, 0.5000, 0.5000)